! Li2CdRu SCAN PBEsol geometry; values from VASP
! formation enthalpy at 0 K = 0.9 eV per formula unit
! calculated volume = 61 Å³ per cell
! space-group type = F-43m
! magnetic moment = 1.01 μB/cell
&SYSTEM
  ibrav = 0, nat = 4, ntyp = 3
/
ATOMIC_SPECIES
Li 6.94 Li.upf
Cd 112.41 Cd.upf
Ru 101.07 Ru.upf
ATOMIC_POSITIONS crystal
Li 0.0000 0.0000 0.0000
Li 0.2500 0.2500 0.2500
Cd 0.7500 0.7500 0.7500
Ru 0.5000 0.5000 0.5000
CELL_PARAMETERS angstrom
0.0000 3.1179 3.1179
3.1179 0.0000 3.1179
3.1179 3.1179 0.0000